TaTe2Ru after structural relaxation, computed with PBE-GGA.

Geometry as POSCAR:
```
TaTe2Ru
1.0
1.9457 0.0000 9.0661
-0.9728 1.6850 9.0661
-0.9728 -1.6850 9.0661
Ru Ta Te
1 1 2
Cartesian
0.0000 0.0000 0.0000
0.0000 0.0000 13.5992
0.0000 0.0000 24.6681
0.0000 0.0000 2.5303
```

Results
For the formation energy from raw total energies, the calculation gives 432 meV per atom. Its energy above the most stable polymorph in this dataset is 592 meV per atom. Its space group is R-3m, No. 166. The total DFT energy (no corrections) is -6.42 eV per atom.